DFT (GGA+U) results for HoMnAs2O8 after structural relaxation.

a = 5.8634 Å, b = 5.8634 Å, c = 5.8634 Å
α = 107.03°, β = 107.03°, γ = 114.47°
Closest atoms and distances in Å follow each position.
Atoms (fractional coordinates):
Ho (0.0000, 0.0000, 0.0000)  8 O 2.25-2.41
Mn (0.2500, 0.7500, 0.5000)  8 O 2.23-2.40
As (0.5000, 0.5000, 0.0000)  4 O 1.73
As (0.7500, 0.2500, 0.5000)  4 O 1.71
O (0.3194, 0.1335, 0.8141)  1 As 1.73
O (0.3194, 0.5053, 0.1859)  1 As 1.73
O (0.3873, 0.0704, 0.3169)  1 As 1.71
O (0.4947, 0.6806, 0.8141)  1 As 1.73
O (0.7535, 0.0704, 0.6831)  1 As 1.71
O (0.8665, 0.6806, 0.1859)  1 As 1.73
O (0.9296, 0.2465, 0.3169)  1 As 1.71
O (0.9296, 0.6127, 0.6831)  1 As 1.71

Summary:
DFT total energy = -6.831 eV per atom
space-group type = No. 119